Entry 1:
# CaReTc2Cl

Crystalline CaReTc2Cl at its relaxed geometry (PBE, the Alexandria database).

```
5
Lattice="-0.531 3.273 -3.229 1.982 -2.794 -3.159 -4.155 -1.734 -1.074" Properties=species:S:1:pos:R:3 pbc="T T T"
Tc -2.077 -0.867 -0.537
Tc -0.266 1.636 -1.614
Re -1.352 -0.627 -3.731
Ca 0.000 0.000 0.000
Cl 0.991 -1.397 -1.579
```

Results
* raw formation energy: 2.7000 eV per atom
* symmetry: P4/mmm

---

Entry 2:
# SrGaBi2

Crystalline SrGaBi2 at its relaxed geometry (PBE, the Alexandria database).

```
4
Lattice="4.361 0.000 0.000 0.000 4.361 0.000 0.000 0.000 6.599" Properties=species:S:1:pos:R:3 pbc="T T T"
Bi 0.000 0.000 1.753
Bi 0.000 0.000 4.846
Ga 2.180 2.180 3.300
Sr 2.180 2.180 0.000
```

Results
* energy relative to the elements: -0.3150 eV/atom
* symmetry: P4/mmm

---

Number 1: raw total energy -4.706 eV per atom. Number 2: raw total energy -3.433 eV per atom.